No. 1
10
Lattice="2.820 0.000 0.000 0.000 2.820 0.000 0.000 0.000 9.362" Properties=species:S:1:pos:R:3 comment="PBE CdH2O2, relaxed" final_energy_ev_per_atom=-3.6008 e_above_lowest_polymorph_ev_per_atom=0.965 total_magnetization_mub_per_fu=0.00 pbc="T T T"
Cd 0.000 0.000 0.000
Cd 1.410 1.410 4.681
H 0.000 1.410 2.341
H 0.000 1.410 7.022
H 1.410 0.000 2.341
H 1.410 0.000 7.022
O 0.000 0.000 3.201
O 0.000 0.000 6.162
O 1.410 1.410 1.481
O 1.410 1.410 7.882

No. 2
11
Lattice="-3.126 3.126 3.126 3.126 -3.126 3.126 3.126 3.126 -3.126" Properties=species:S:1:pos:R:3 comment="PBE Cd3H4O4, relaxed" final_energy_ev_per_atom=-3.9316 total_magnetization_mub_per_fu=0.00 pbc="T T T"
Cd 3.126 0.000 0.000
Cd 0.000 3.126 0.000
Cd 0.000 0.000 3.126
H 1.373 1.373 -1.373
H 1.373 -1.373 1.373
H -1.373 1.373 1.373
H 1.753 1.753 1.753
O 1.940 1.940 -1.940
O 1.940 -1.940 1.940
O 1.186 1.186 1.186
O -1.940 1.940 1.940

No. 3
14
Lattice="8.667 0.000 0.000 0.000 8.667 0.000 0.000 0.000 4.197" Properties=species:S:1:pos:R:3 comment="PBE CdH4O2, relaxed" final_energy_ev_per_atom=-4.1100 total_magnetization_mub_per_fu=0.00 pbc="T T T"
Cd 0.000 0.000 0.000
Cd 4.334 4.334 2.099
H 1.462 2.537 0.000
H 1.797 5.795 2.099
H 2.537 1.462 0.000
H 2.872 6.870 2.099
H 5.795 1.797 2.099
H 6.130 7.205 0.000
H 6.870 2.872 2.099
H 7.205 6.130 0.000
O 1.901 6.767 2.099
O 2.433 2.433 0.000
O 6.234 6.234 0.000
O 6.767 1.901 2.099

No. 4
8
Lattice="0.000 3.322 3.322 3.322 0.000 3.322 3.322 3.322 0.000" Properties=species:S:1:pos:R:3 comment="PBE CdH2O, relaxed" final_energy_ev_per_atom=-3.1715 e_above_lowest_polymorph_ev_per_atom=0.000 total_magnetization_mub_per_fu=0.00 pbc="T T T"
Cd 0.831 0.831 0.831
Cd 5.814 5.814 5.814
H 3.322 1.661 1.661
H 1.661 3.322 1.661
H 1.661 1.661 3.322
H 3.322 3.322 3.322
O 2.492 2.492 2.492
O 4.153 4.153 4.153

No. 5
16
Lattice="4.152 0.000 0.000 0.000 4.152 0.000 0.000 0.000 9.160" Properties=species:S:1:pos:R:3 comment="PBE CdHO2, relaxed" final_energy_ev_per_atom=-3.5964 e_above_lowest_polymorph_ev_per_atom=0.635 total_magnetization_mub_per_fu=0.00 pbc="T T T"
Cd 0.000 0.000 0.000
Cd 0.000 2.076 2.290
Cd 2.076 0.000 6.870
Cd 2.076 2.076 4.580
H 0.000 0.000 4.580
H 0.000 2.076 6.870
H 2.076 0.000 2.290
H 2.076 2.076 0.000
O 0.404 1.038 5.725
O 1.038 2.480 8.015
O 1.038 3.748 3.435
O 1.672 1.038 1.145
O 2.480 3.114 1.145
O 3.114 0.404 3.435
O 3.114 1.672 8.015
O 3.748 3.114 5.725

No. 6
12
Lattice="4.364 0.000 0.000 0.000 10.094 0.000 0.000 0.000 3.627" Properties=species:S:1:pos:R:3 comment="PBE CdHO, relaxed" final_energy_ev_per_atom=-3.8547 e_above_lowest_polymorph_ev_per_atom=0.057 total_magnetization_mub_per_fu=0.00 pbc="T T T"
Cd 0.000 1.145 0.000
Cd 0.000 8.949 1.814
Cd 2.182 3.902 1.814
Cd 2.182 6.191 0.000
H 0.000 3.812 0.223
H 0.000 6.281 2.037
H 2.182 1.235 2.037
H 2.182 8.859 0.223
O 0.000 3.207 0.993
O 0.000 6.887 2.806
O 2.182 1.840 2.806
O 2.182 8.254 0.993

Number 1: N(E_F) 0.009 states/eV/atom, theoretical density 6.53 Mg/m³. Number 2: N(E_F) 0.221 states/eV/atom, theoretical density 5.51 Mg/m³. Number 3: N(E_F) 0.000 states/eV/atom, theoretical density 1.56 Mg/m³. Number 4: N(E_F) 0.210 states/eV/atom, theoretical density 5.91 Mg/m³. Number 5: N(E_F) 0.352 states/eV/atom, theoretical density 6.12 Mg/m³. Number 6: N(E_F) 0.126 states/eV/atom, theoretical density 5.38 Mg/m³.